[1]
{"formula": "Rb2AlAsI6", "functional": "GGA-PBE", "state": "optimized geometry", "raw_formation_energy_ev_per_atom": -0.716, "sg": "No. 139", "density_g_cm3": 4.22, "energy_ev_per_atom": -2.68, "lattice": [[-4.157, 4.157, 5.880], [4.157, -4.157, 5.880], [4.157, 4.157, -5.880]], "species": ["Rb", "Rb", "Al", "As", "I", "I", "I", "I", "I", "I"], "fractional_positions": [[0.250, 0.750, 0.500], [0.750, 0.250, 0.500], [0.000, 0.000, 0.000], [0.500, 0.500, 0.000], [0.248, 0.248, 0.000], [0.249, 0.249, 0.499], [0.249, 0.751, 0.000], [0.751, 0.249, 0.000], [0.751, 0.751, 0.501], [0.752, 0.752, 0.000]]}

=====

[2]
{"formula": "Er4PdSe2", "functional": "GGA-PBE", "state": "optimized geometry", "raw_formation_energy_ev_per_atom": -1.226, "sg": "No. 63", "density_g_cm3": 8.84, "energy_ev_per_atom": -5.57, "lattice": [[1.937, -6.463, 0.000], [1.937, 6.463, 0.000], [0.000, 0.000, 14.013]], "species": ["Er", "Er", "Er", "Er", "Er", "Er", "Er", "Er", "Pd", "Pd", "Se", "Se", "Se", "Se"], "fractional_positions": [[0.000, 0.000, 0.000], [0.000, 0.000, 0.500], [0.290, 0.710, 0.628], [0.290, 0.710, 0.872], [0.448, 0.552, 0.250], [0.552, 0.448, 0.750], [0.710, 0.290, 0.128], [0.710, 0.290, 0.372], [0.107, 0.893, 0.250], [0.893, 0.107, 0.750], [0.358, 0.642, 0.064], [0.358, 0.642, 0.436], [0.642, 0.358, 0.564], [0.642, 0.358, 0.936]]}

=====

[3]
{"formula": "Hf2CoH4", "functional": "GGA-PBE", "state": "optimized geometry", "sg": "No. 11", "density_g_cm3": 10.69, "energy_ev_per_atom": -6.11, "lattice": [[5.345, 0.000, 0.000], [0.000, 4.110, 0.000], [-2.601, 0.000, 5.941]], "species": ["Hf", "Hf", "Hf", "Hf", "Co", "Co", "H", "H", "H", "H", "H", "H", "H", "H"], "fractional_positions": [[0.209, 0.250, 0.439], [0.276, 0.750, 0.074], [0.724, 0.250, 0.926], [0.791, 0.750, 0.561], [0.137, 0.250, 0.800], [0.863, 0.750, 0.200], [0.196, 0.250, 0.075], [0.332, 0.514, 0.759], [0.332, 0.986, 0.759], [0.382, 0.750, 0.408], [0.618, 0.250, 0.592], [0.668, 0.014, 0.241], [0.668, 0.486, 0.241], [0.804, 0.750, 0.925]]}

=====

[4]
{"formula": "LaHoTm2Cd4", "functional": "GGA-PBE", "state": "optimized geometry", "formation_enthalpy_0k_ev_per_atom": -0.303, "sg": "No. 166", "density_g_cm3": 8.45, "energy_ev_per_atom": -3.07, "lattice": [[2.662, 1.537, 8.732], [-2.662, 1.537, 8.732], [0.000, -3.074, 8.732]], "species": ["La", "Ho", "Tm", "Tm", "Cd", "Cd", "Cd", "Cd"], "fractional_positions": [[0.000, 0.000, 0.000], [0.500, 0.500, 0.500], [0.249, 0.249, 0.249], [0.751, 0.751, 0.751], [0.127, 0.127, 0.127], [0.378, 0.378, 0.378], [0.622, 0.622, 0.622], [0.873, 0.873, 0.873]]}

=====

[5]
{"formula": "AsAuBr4", "functional": "GGA-PBE", "state": "optimized geometry", "raw_formation_energy_ev_per_atom": 1.041, "sg": "No. 216", "density_g_cm3": 5.93, "polymorph_energy_mev_per_atom": 1328, "energy_ev_per_atom": -1.40, "lattice": [[0.000, 4.360, 4.360], [4.360, 0.000, 4.360], [4.360, 4.360, 0.000]], "species": ["As", "Au", "Br", "Br", "Br", "Br"], "fractional_positions": [[0.000, 0.000, 0.000], [0.750, 0.750, 0.750], [0.376, 0.376, 0.376], [0.376, 0.376, 0.872], [0.376, 0.872, 0.376], [0.872, 0.376, 0.376]]}

=====

[6]
{"formula": "LaZr2NiOs", "functional": "GGA-PBE", "state": "optimized geometry", "formation_enthalpy_0k_ev_per_atom": 1.785, "sg": "No. 123", "density_g_cm3": 8.27, "energy_ev_per_atom": -6.02, "lattice": [[5.125, 0.000, 0.000], [0.000, 5.125, 0.000], [0.000, 0.000, 4.360]], "species": ["La", "Zr", "Zr", "Ni", "Os"], "fractional_positions": [[0.000, 0.000, 0.000], [0.000, 0.500, 0.000], [0.500, 0.000, 0.000], [0.000, 0.000, 0.500], [0.500, 0.500, 0.500]]}